Density functional theory data (PBE) for crystalline Mg2CoNi at its relaxed geometry.

Values from the calculation:
symmetry	C2/m (12)
energy above the lowest structure with this stoichiometry	153	meV/atom
total magnetic moment	1.53	μB per formula unit
Fermi-level density of states	3.06	states/eV per cell
calculated formation energy	0.17	eV/atom

Cell and atoms, written as extended XYZ:
```
4
Lattice="4.2698 -1.3796 0.0000 4.2698 1.3796 0.0000 -0.8154 0.0000 4.9173" Properties=species:S:1:pos:R:3 pbc="T T T"
Mg 1.9153 0.0000 1.2260
Mg 5.8088 0.0000 3.6913
Co -0.4077 0.0000 2.4587
Ni 4.2698 0.0000 0.0000
```

***

Density functional theory data (PBE) for crystalline ZrCdHRh2 at its relaxed geometry.

Values from the calculation:
symmetry	P4/mmm (123)
raw total energy	-29.37	eV/cell
total magnetic moment	0.00	μB per formula unit
Fermi-level density of states	2.34	states/eV per cell

Cell and atoms, written as extended XYZ:
```
5
Lattice="4.2116 0.0000 0.0000 0.0000 4.2116 0.0000 0.0000 0.0000 4.0013" Properties=species:S:1:pos:R:3 pbc="T T T"
Zr 0.0000 0.0000 0.0000
Cd 2.1058 2.1058 0.0000
H 0.0000 0.0000 2.0006
Rh 0.0000 2.1058 2.0006
Rh 2.1058 0.0000 2.0006
```

***

Density functional theory data (PBE) for crystalline LiTaNi2 at its relaxed geometry.

Values from the calculation:
symmetry	R-3m (166)
total magnetic moment	0.00	μB per formula unit
Fermi-level density of states	2.75	states/eV per cell
calculated formation energy	0.09	eV/atom

Cell and atoms, written as extended XYZ:
```
4
Lattice="1.3765 0.7947 8.4905 -1.3765 0.7947 8.4905 0.0000 -1.5894 8.4905" Properties=species:S:1:pos:R:3 pbc="T T T"
Li 0.0000 0.0000 0.0000
Ta 0.0000 0.0000 12.7358
Ni 0.0000 0.0000 6.3789
Ni 0.0000 0.0000 19.0927
```

***

Density functional theory data (PBE) for crystalline AsRuPt2 at its relaxed geometry.

Values from the calculation:
symmetry	Imm2 (44)
total magnetic moment	0.00	μB per formula unit
Fermi-level density of states	4.12	states/eV per cell
calculated formation energy	0.07	eV/atom

Cell and atoms, written as extended XYZ:
```
4
Lattice="-1.4332 2.3153 4.6647 1.4332 -2.3153 4.6647 1.4332 2.3153 -4.6647" Properties=species:S:1:pos:R:3 pbc="T T T"
As 0.0000 0.0000 0.0000
Ru 0.0000 2.3153 2.6607
Pt 1.4332 0.0000 2.2129
Pt 0.0000 0.0000 4.7717
```

***

Density functional theory data (PBE) for crystalline MgAsP4 at its relaxed geometry.

Values from the calculation:
symmetry	F-43m (216)
total magnetic moment	0.00	μB per formula unit
Fermi-level density of states	2.52	states/eV per cell
calculated formation energy	0.46	eV/atom

Cell and atoms, written as extended XYZ:
```
6
Lattice="0.0000 3.8254 3.8254 3.8254 0.0000 3.8254 3.8254 3.8254 0.0000" Properties=species:S:1:pos:R:3 pbc="T T T"
Mg 0.0000 0.0000 0.0000
As 1.9127 1.9127 1.9127
P 4.6354 3.0155 3.0155
P 3.0155 4.6354 3.0155
P 3.0155 3.0155 4.6354
P 4.6354 4.6354 4.6354
```

***

Density functional theory data (PBE) for crystalline ScCo2Si3 at its relaxed geometry.

Values from the calculation:
uncorrected formation energy	-59	kJ/mol of atoms
symmetry	Cmcm (63)
total magnetic moment	0.00	μB per formula unit
Fermi-level density of states	4.45	states/eV per cell

Cell and atoms, written as extended XYZ:
```
12
Lattice="4.4775 -3.5970 0.0000 4.4775 3.5970 0.0000 0.0000 0.0000 5.0285" Properties=species:S:1:pos:R:3 pbc="T T T"
Sc 4.4775 2.4688 3.7714
Sc 4.4775 -2.4688 1.2571
Co 2.6025 0.0000 0.0000
Co 2.6025 0.0000 2.5143
Co 6.3525 0.0000 0.0000
Co 6.3525 0.0000 2.5143
Si 2.9383 2.0778 1.2571
Si 6.0166 2.0778 1.2571
Si 4.4775 0.2917 1.2571
Si 4.4775 -0.2917 3.7714
Si 2.9383 -2.0778 3.7714
Si 6.0166 -2.0778 3.7714
```

***

Density functional theory data (PBE) for crystalline HfInGe3 at its relaxed geometry.

Values from the calculation:
symmetry	Pm-3m (221)
energy above the lowest structure with this stoichiometry	0	meV/atom
total magnetic moment	0.00	μB per formula unit
Fermi-level density of states	1.65	states/eV per cell
calculated formation energy	0.32	eV/atom

Cell and atoms, written as extended XYZ:
```
5
Lattice="5.1951 0.0000 0.0000 0.0000 5.1951 0.0000 0.0000 0.0000 5.1951" Properties=species:S:1:pos:R:3 pbc="T T T"
Hf 0.0000 0.0000 0.0000
In 2.5975 2.5975 2.5975
Ge 0.0000 0.0000 2.5975
Ge 0.0000 2.5975 0.0000
Ge 2.5975 0.0000 0.0000
```

***

Density functional theory data (PBE) for crystalline TiBAs2Br at its relaxed geometry.

Values from the calculation:
uncorrected formation energy	84	kJ/mol of atoms
symmetry	P4/mmm (123)
energy above the lowest structure with this stoichiometry	164	meV/atom
total magnetic moment	0.00	μB per formula unit
Fermi-level density of states	3.69	states/eV per cell

Cell and atoms, written as extended XYZ:
```
5
Lattice="4.8757 0.0000 0.0000 0.0000 4.8757 0.0000 0.0000 0.0000 5.2167" Properties=species:S:1:pos:R:3 pbc="T T T"
Ti 0.0000 0.0000 0.0000
B 2.4378 2.4378 2.6083
As 0.0000 2.4378 0.0000
As 2.4378 0.0000 0.0000
Br 0.0000 0.0000 2.6083
```

***

Density functional theory data (PBE) for crystalline BaCd2Sb at its relaxed geometry.

Values from the calculation:
uncorrected formation energy	-33	kJ/mol of atoms
symmetry	P4/mmm (123)
total magnetic moment	0.00	μB per formula unit
Fermi-level density of states	2.53	states/eV per cell

Cell and atoms, written as extended XYZ:
```
4
Lattice="4.8586 0.0000 0.0000 0.0000 4.8586 0.0000 0.0000 0.0000 5.3024" Properties=species:S:1:pos:R:3 pbc="T T T"
Ba 0.0000 0.0000 0.0000
Cd 0.0000 2.4293 2.6512
Cd 2.4293 0.0000 2.6512
Sb 2.4293 2.4293 0.0000
```

***

Density functional theory data (PBE) for crystalline Hf2Fe5SiB2 at its relaxed geometry.

Values from the calculation:
uncorrected formation energy	-53	kJ/mol of atoms
symmetry	P4/mbm (127)
total magnetic moment	0.01	μB per formula unit
Fermi-level density of states	18.21	states/eV per cell

Cell and atoms, written as extended XYZ:
```
20
Lattice="8.7204 0.0000 0.0000 0.0000 8.7204 0.0000 0.0000 0.0000 2.9338" Properties=species:S:1:pos:R:3 pbc="T T T"
Hf 1.5364 2.8238 0.0000
Hf 2.8238 7.1840 0.0000
Hf 5.8966 1.5364 0.0000
Hf 7.1840 5.8966 0.0000
Fe 0.0000 4.3602 1.4669
Fe 0.5805 6.8451 1.4669
Fe 1.8753 0.5805 1.4669
Fe 2.4849 4.9407 1.4669
Fe 3.7797 2.4849 1.4669
Fe 4.3602 0.0000 1.4669
Fe 4.9407 6.2355 1.4669
Fe 6.2355 3.7797 1.4669
Fe 6.8451 8.1399 1.4669
Fe 8.1399 1.8753 1.4669
Si 0.0000 0.0000 0.0000
Si 4.3602 4.3602 0.0000
B 1.0580 5.4182 0.0000
B 3.3022 1.0580 0.0000
B 5.4182 7.6624 0.0000
B 7.6624 3.3022 0.0000
```

***

Density functional theory data (PBE) for crystalline RbSn2Os2 at its relaxed geometry.

Values from the calculation:
symmetry	I4/mmm (139)
energy above the lowest structure with this stoichiometry	0	meV/atom
total magnetic moment	0.00	μB per formula unit
Fermi-level density of states	5.03	states/eV per cell
calculated formation energy	0.46	eV/atom

Cell and atoms, written as extended XYZ:
```
5
Lattice="-2.4168 2.4168 5.1072 2.4168 -2.4168 5.1072 2.4168 2.4168 -5.1072" Properties=species:S:1:pos:R:3 pbc="T T T"
Rb 0.0000 0.0000 0.0000
Sn 2.4168 0.0000 2.5536
Sn 0.0000 2.4168 2.5536
Os 0.0000 0.0000 3.9310
Os 0.0000 0.0000 6.2835
```

***

Density functional theory data (PBE) for crystalline Gd2DyZr at its relaxed geometry.

Values from the calculation:
symmetry	P4/mmm (123)
energy above the lowest structure with this stoichiometry	0	meV/atom
total magnetic moment	14.32	μB per formula unit
Fermi-level density of states	5.86	states/eV per cell
calculated formation energy	0.08	eV/atom

Cell and atoms, written as extended XYZ:
```
4
Lattice="3.4301 0.0000 0.0000 0.0000 3.4301 0.0000 0.0000 0.0000 9.9339" Properties=species:S:1:pos:R:3 pbc="T T T"
Gd 0.0000 0.0000 2.3108
Gd 0.0000 0.0000 7.6231
Dy 1.7150 1.7150 4.9669
Zr 1.7150 1.7150 0.0000
```